Arrangement P

A plane-wave DFT calculation with PBE was carried out for a geometry-optimized CaRuN2 structure.

a b c (Å): 5.5455 5.5455 5.5455
angles (deg): 90.00 90.00 90.00
With the nearest neighbours (Å) after each atom.
Space group Fm-3m (No. 225)
Unique sites:
Ca  0.0000  0.0000  0.0000 (multiplicity 4)  8 N 2.40
Ru  0.0000  0.0000  0.5000 (multiplicity 4)  8 N 2.40
N  0.2500  0.2500  0.2500 (multiplicity 8)  4 Ru 2.40, 4 Ca 2.40

**ρ**: 6589 kg/m³

=====

Arrangement Q

A plane-wave DFT calculation with PBE was carried out for a geometry-optimized CaRuN2 structure.

a b c (Å): 3.3953 3.3953 17.4687
angles (deg): 90.00 90.00 120.00
With the nearest neighbours (Å) after each atom.
Space group R-3m (No. 166, hexagonal axes)
Unique sites:
Ca  0.0000  0.0000  0.0000 (multiplicity 3)  2 N 2.20
Ru  0.0000  0.0000  0.5000 (multiplicity 3)  6 N 2.09
N  0.0000  0.0000  0.1258 (multiplicity 6)  3 Ru 2.09, 1 Ca 2.20

**ρ**: 4832 kg/m³

=====

arrangement P is preferred energetically. Next in line: 94 meV/atom higher.

=====

Arrangement P

A plane-wave DFT calculation with PBE was carried out for a geometry-optimized Ca2SbRuN structure.

a b c (Å): 5.0714 5.0714 3.8888
angles (deg): 90.00 90.00 90.00
With the nearest neighbours (Å) after each atom.
Space group P4/mmm (No. 123)
Unique sites:
Ca  0.0000  0.5000  0.0000 (multiplicity 2)  2 N 2.54
Sb  0.0000  0.0000  0.5000 (multiplicity 1)  8 Ca 3.20
Ru  0.5000  0.5000  0.5000 (multiplicity 1)  2 N 1.94
N  0.5000  0.5000  0.0000 (multiplicity 1)  2 Ru 1.94

**ρ**: 5263 kg/m³

=====

Arrangement Q

A plane-wave DFT calculation with PBE was carried out for a geometry-optimized Ca2SbRuN structure.

a b c (Å): 5.9054 5.9054 4.8483
angles (deg): 90.00 90.00 90.00
With the nearest neighbours (Å) after each atom.
Space group P4/mmm (No. 123)
Unique sites:
Ca  0.0000  0.5000  0.0000 (multiplicity 2)  2 Sb 2.95
Sb  0.0000  0.0000  0.0000 (multiplicity 1)  2 Ru 2.42
Ru  0.0000  0.0000  0.5000 (multiplicity 1)  2 Sb 2.42
N  0.5000  0.5000  0.5000 (multiplicity 1)  8 Ca 3.82, 4 Ru 4.18

**ρ**: 3113 kg/m³

=====

arrangement P is preferred energetically. Next in line: 1724 meV/atom higher.

=====

Arrangement P

A plane-wave DFT calculation with PBE was carried out for a geometry-optimized CaRuSeN2 structure.

a b c (Å): 3.9014 3.9014 5.3876
angles (deg): 90.00 90.00 90.00
With the nearest neighbours (Å) after each atom.
Space group P4/mmm (No. 123)
Unique sites:
Ca  0.0000  0.0000  0.0000 (multiplicity 1)  4 Se 2.76
Ru  0.5000  0.5000  0.5000 (multiplicity 1)  4 N 1.95
Se  0.5000  0.5000  0.0000 (multiplicity 1)  2 Ru 2.69, 4 Ca 2.76
N  0.0000  0.5000  0.5000 (multiplicity 2)  2 Ru 1.95

**ρ**: 5024 kg/m³

=====

Arrangement Q

A plane-wave DFT calculation with PBE was carried out for a geometry-optimized CaRuSeN2 structure.

a b c (Å): 4.3593 4.3593 5.8214
angles (deg): 90.00 90.00 90.00
With the nearest neighbours (Å) after each atom.
Space group P4/mmm (No. 123)
Unique sites:
Ca  0.0000  0.0000  0.0000 (multiplicity 1)  4 N 2.18
Ru  0.5000  0.5000  0.5000 (multiplicity 1)  4 Se 3.08
Se  0.0000  0.0000  0.5000 (multiplicity 1)  2 Ca 2.91, 4 Ru 3.08
N  0.0000  0.5000  0.0000 (multiplicity 2)  2 Ca 2.18

**ρ**: 3724 kg/m³

=====

arrangement P is preferred energetically. Next in line: 1905 meV/atom higher.

=====

Arrangement P

A plane-wave DFT calculation with PBE was carried out for a geometry-optimized CaRuSe2N structure.

a b c (Å): 5.3581 5.3581 4.2004
angles (deg): 90.00 90.00 90.00
With the nearest neighbours (Å) after each atom.
Space group P4/mmm (No. 123)
Unique sites:
Ca  0.0000  0.0000  0.0000 (multiplicity 1)  2 N 2.10
Ru  0.5000  0.5000  0.5000 (multiplicity 1)  8 Se 3.40, 4 N 3.79
Se  0.0000  0.5000  0.0000 (multiplicity 2)  2 Ca 2.68
N  0.0000  0.0000  0.5000 (multiplicity 1)  2 Ca 2.10

**ρ**: 4311 kg/m³

=====

Arrangement Q

A plane-wave DFT calculation with PBE was carried out for a geometry-optimized CaRuSe2N structure.

a b c (Å): 5.2065 5.2065 3.6888
angles (deg): 90.00 90.00 90.00
With the nearest neighbours (Å) after each atom.
Space group P4/mmm (No. 123)
Unique sites:
Ca  0.0000  0.0000  0.0000 (multiplicity 1)  8 Se 3.19
Ru  0.5000  0.5000  0.5000 (multiplicity 1)  2 N 1.84
Se  0.0000  0.5000  0.5000 (multiplicity 2)  2 Ru 2.60
N  0.5000  0.5000  0.0000 (multiplicity 1)  2 Ru 1.84

**ρ**: 5199 kg/m³

=====

Arrangement R

A plane-wave DFT calculation with PBE was carried out for a geometry-optimized CaRuSe2N structure.

a b c (Å): 4.4515 4.4515 4.3573
angles (deg): 90.00 90.00 90.00
With the nearest neighbours (Å) after each atom.
Space group P4/mmm (No. 123)
Unique sites:
Ca  0.0000  0.0000  0.0000 (multiplicity 1)  2 N 2.18
Ru  0.5000  0.5000  0.0000 (multiplicity 1)  8 Se 3.11, 4 Ca 3.15
Se  0.0000  0.5000  0.5000 (multiplicity 2)  2 N 2.23
N  0.0000  0.0000  0.5000 (multiplicity 1)  2 Ca 2.18, 4 Se 2.23

**ρ**: 6021 kg/m³

=====

arrangement Q is preferred energetically. Next in line: 923 meV/atom higher.

=====

Arrangement P

A plane-wave DFT calculation with PBE was carried out for a geometry-optimized CaTe2RuN structure.

a b c (Å): 5.7940 5.7940 4.0329
angles (deg): 90.00 90.00 90.00
With the nearest neighbours (Å) after each atom.
Space group P4/mmm (No. 123)
Unique sites:
Ca  0.0000  0.0000  0.0000 (multiplicity 1)  2 N 2.02
Te  0.0000  0.5000  0.0000 (multiplicity 2)  2 Ca 2.90
Ru  0.5000  0.5000  0.5000 (multiplicity 1)  8 Te 3.53
N  0.0000  0.0000  0.5000 (multiplicity 1)  2 Ca 2.02

**ρ**: 5033 kg/m³

=====

Arrangement Q

A plane-wave DFT calculation with PBE was carried out for a geometry-optimized CaTe2RuN structure.

a b c (Å): 5.6069 5.6069 3.6973
angles (deg): 90.00 90.00 90.00
With the nearest neighbours (Å) after each atom.
Space group P4/mmm (No. 123)
Unique sites:
Ca  0.0000  0.0000  0.0000 (multiplicity 1)  8 Te 3.36, 2 Ca 3.70
Te  0.0000  0.5000  0.5000 (multiplicity 2)  2 Ru 2.80
Ru  0.5000  0.5000  0.5000 (multiplicity 1)  2 N 1.85
N  0.5000  0.5000  0.0000 (multiplicity 1)  2 Ru 1.85

**ρ**: 5862 kg/m³

=====

arrangement Q is preferred energetically. Next in line: 1714 meV/atom higher.

=====

Arrangement P

A plane-wave DFT calculation with PBE was carried out for a geometry-optimized CaTeRuN2 structure.

a b c (Å): 4.3778 4.3778 6.4347
angles (deg): 90.00 90.00 90.00
With the nearest neighbours (Å) after each atom.
Space group P4/mmm (No. 123)
Unique sites:
Ca  0.0000  0.0000  0.0000 (multiplicity 1)  4 N 2.19
Te  0.0000  0.0000  0.5000 (multiplicity 1)  4 Ru 3.10, 2 Ca 3.22
Ru  0.5000  0.5000  0.5000 (multiplicity 1)  4 Te 3.10
N  0.0000  0.5000  0.0000 (multiplicity 2)  2 Ca 2.19

**ρ**: 3996 kg/m³

=====

Arrangement Q

A plane-wave DFT calculation with PBE was carried out for a geometry-optimized CaTeRuN2 structure.

a b c (Å): 4.0041 4.0041 5.6721
angles (deg): 90.00 90.00 90.00
With the nearest neighbours (Å) after each atom.
Space group P4/mmm (No. 123)
Unique sites:
Ca  0.0000  0.0000  0.0000 (multiplicity 1)  4 Te 2.83
Te  0.5000  0.5000  0.0000 (multiplicity 1)  4 Ca 2.83, 2 Ru 2.84
Ru  0.5000  0.5000  0.5000 (multiplicity 1)  4 N 2.00
N  0.0000  0.5000  0.5000 (multiplicity 2)  2 Ru 2.00

**ρ**: 5419 kg/m³

=====

arrangement Q is preferred energetically. Next in line: 1545 meV/atom higher.

=====

Arrangement P

A plane-wave DFT calculation with PBE was carried out for a geometry-optimized Ca2SN structure.

a b c (Å): 6.7612 6.7612 7.4903
angles (deg): 90.00 90.00 90.00
With the nearest neighbours (Å) after each atom.
Space group I-42d (No. 122)
Unique sites:
Ca  0.2016  0.2500  0.1250 (multiplicity 8)  2 N 2.36
S  0.0000  0.0000  0.5000 (multiplicity 4)  4 Ca 2.79
N  0.0000  0.0000  0.0000 (multiplicity 4)  4 Ca 2.36

**ρ**: 2449 kg/m³

=====

Arrangement Q

A plane-wave DFT calculation with PBE was carried out for a geometry-optimized Ca2SN structure.

a b c (Å): 6.5795 6.5795 6.5795
angles (deg): 90.00 90.00 90.00
With the nearest neighbours (Å) after each atom.
Space group Fm-3m (No. 225)
Unique sites:
Ca  0.2500  0.2500  0.2500 (multiplicity 8)  4 S 2.85, 4 N 2.85
S  0.0000  0.0000  0.0000 (multiplicity 4)  8 Ca 2.85
N  0.0000  0.0000  0.5000 (multiplicity 4)  8 Ca 2.85

**ρ**: 2944 kg/m³

=====

arrangement P is preferred energetically. Next in line: 260 meV/atom higher.

=====

Arrangement P

A plane-wave DFT calculation with PBE was carried out for a geometry-optimized CaSbS2N structure.

a b c (Å): 5.2729 5.2729 4.3607
angles (deg): 90.00 90.00 90.00
With the nearest neighbours (Å) after each atom.
Space group P4/mmm (No. 123)
Unique sites:
Ca  0.0000  0.0000  0.0000 (multiplicity 1)  2 N 2.18
Sb  0.5000  0.5000  0.5000 (multiplicity 1)  8 S 3.42, 4 N 3.73
S  0.0000  0.5000  0.0000 (multiplicity 2)  2 Ca 2.64
N  0.0000  0.0000  0.5000 (multiplicity 1)  2 Ca 2.18

**ρ**: 3287 kg/m³

=====

Arrangement Q

A plane-wave DFT calculation with PBE was carried out for a geometry-optimized CaSbS2N structure.

a b c (Å): 5.1148 5.1148 3.9680
angles (deg): 90.00 90.00 90.00
With the nearest neighbours (Å) after each atom.
Space group P4/mmm (No. 123)
Unique sites:
Ca  0.0000  0.0000  0.0000 (multiplicity 1)  8 S 3.24, 4 N 3.62
Sb  0.5000  0.5000  0.5000 (multiplicity 1)  2 N 1.98
S  0.0000  0.5000  0.5000 (multiplicity 2)  2 Sb 2.56
N  0.5000  0.5000  0.0000 (multiplicity 1)  2 Sb 1.98

**ρ**: 3839 kg/m³

=====

arrangement Q is preferred energetically. Next in line: 777 meV/atom higher.

=====

Arrangement P

A plane-wave DFT calculation with PBE was carried out for a geometry-optimized CaSbSN2 structure.

a b c (Å): 4.4598 4.4598 5.3798
angles (deg): 90.00 90.00 90.00
With the nearest neighbours (Å) after each atom.
Space group P4/mmm (No. 123)
Unique sites:
Ca  0.0000  0.0000  0.0000 (multiplicity 1)  4 N 2.23
Sb  0.5000  0.5000  0.5000 (multiplicity 1)  4 S 3.15, 8 N 3.49
S  0.0000  0.0000  0.5000 (multiplicity 1)  2 Ca 2.69
N  0.0000  0.5000  0.0000 (multiplicity 2)  2 Ca 2.23

**ρ**: 3444 kg/m³

=====

Arrangement Q

A plane-wave DFT calculation with PBE was carried out for a geometry-optimized CaSbSN2 structure.

a b c (Å): 4.0586 4.0586 5.2956
angles (deg): 90.00 90.00 90.00
With the nearest neighbours (Å) after each atom.
Space group P4/mmm (No. 123)
Unique sites:
Ca  0.0000  0.0000  0.0000 (multiplicity 1)  4 S 2.87
Sb  0.5000  0.5000  0.5000 (multiplicity 1)  4 N 2.03
S  0.5000  0.5000  0.0000 (multiplicity 1)  2 Sb 2.65, 4 Ca 2.87
N  0.0000  0.5000  0.5000 (multiplicity 2)  2 Sb 2.03

**ρ**: 4224 kg/m³

=====

arrangement Q is preferred energetically. Next in line: 1011 meV/atom higher.

=====

Arrangement P

A plane-wave DFT calculation with PBE was carried out for a geometry-optimized CaScSN2 structure.

a b c (Å): 4.1144 4.1144 5.2489
angles (deg): 90.00 90.00 90.00
With the nearest neighbours (Å) after each atom.
Space group P4/mmm (No. 123)
Unique sites:
Ca  0.0000  0.0000  0.0000 (multiplicity 1)  4 N 2.06
Sc  0.5000  0.5000  0.5000 (multiplicity 1)  4 S 2.91
S  0.0000  0.0000  0.5000 (multiplicity 1)  2 Ca 2.62, 4 Sc 2.91
N  0.0000  0.5000  0.0000 (multiplicity 2)  2 Ca 2.06

**ρ**: 2712 kg/m³

=====

Arrangement Q

A plane-wave DFT calculation with PBE was carried out for a geometry-optimized CaScSN2 structure.

a b c (Å): 4.1880 4.1880 5.0934
angles (deg): 90.00 90.00 90.00
With the nearest neighbours (Å) after each atom.
Space group P4/mmm (No. 123)
Unique sites:
Ca  0.0000  0.0000  0.0000 (multiplicity 1)  4 S 2.96, 8 N 3.30
Sc  0.5000  0.5000  0.5000 (multiplicity 1)  4 N 2.09
S  0.5000  0.5000  0.0000 (multiplicity 1)  2 Sc 2.55
N  0.0000  0.5000  0.5000 (multiplicity 2)  2 Sc 2.09

**ρ**: 2697 kg/m³

=====

arrangement Q is preferred energetically. Next in line: 1046 meV/atom higher.

=====

Arrangement P

A plane-wave DFT calculation with PBE was carried out for a geometry-optimized CaSnSN2 structure.

a b c (Å): 4.5241 4.5241 5.4487
angles (deg): 90.00 90.00 90.00
With the nearest neighbours (Å) after each atom.
Space group P4/mmm (No. 123)
Unique sites:
Ca  0.0000  0.0000  0.0000 (multiplicity 1)  4 N 2.26
Sn  0.5000  0.5000  0.5000 (multiplicity 1)  4 S 3.20, 8 N 3.54
S  0.0000  0.0000  0.5000 (multiplicity 1)  2 Ca 2.72
N  0.0000  0.5000  0.0000 (multiplicity 2)  2 Ca 2.26

**ρ**: 3259 kg/m³

=====

Arrangement Q

A plane-wave DFT calculation with PBE was carried out for a geometry-optimized CaSnSN2 structure.

a b c (Å): 4.1622 4.1622 5.3020
angles (deg): 90.00 90.00 90.00
With the nearest neighbours (Å) after each atom.
Space group P4/mmm (No. 123)
Unique sites:
Ca  0.0000  0.0000  0.0000 (multiplicity 1)  4 S 2.94
Sn  0.5000  0.5000  0.5000 (multiplicity 1)  4 N 2.08
S  0.5000  0.5000  0.0000 (multiplicity 1)  2 Sn 2.65, 4 Ca 2.94
N  0.0000  0.5000  0.5000 (multiplicity 2)  2 Sn 2.08

**ρ**: 3957 kg/m³

=====

arrangement Q is preferred energetically. Next in line: 746 meV/atom higher.

=====

Arrangement P

A plane-wave DFT calculation with PBE was carried out for a geometry-optimized SrCaSN2 structure.

a b c (Å): 4.5854 4.5854 5.4028
angles (deg): 90.00 90.00 90.00
With the nearest neighbours (Å) after each atom.
Space group P4/mmm (No. 123)
Unique sites:
Sr  0.0000  0.0000  0.0000 (multiplicity 1)  4 S 3.24, 8 N 3.54
Ca  0.5000  0.5000  0.5000 (multiplicity 1)  4 N 2.29
S  0.5000  0.5000  0.0000 (multiplicity 1)  2 Ca 2.70
N  0.0000  0.5000  0.5000 (multiplicity 2)  2 Ca 2.29

**ρ**: 2745 kg/m³

=====

Arrangement Q

A plane-wave DFT calculation with PBE was carried out for a geometry-optimized SrCaSN2 structure.

a b c (Å): 4.7162 4.7162 5.7483
angles (deg): 90.00 90.00 90.00
With the nearest neighbours (Å) after each atom.
Space group P4/mmm (No. 123)
Unique sites:
Sr  0.0000  0.0000  0.0000 (multiplicity 1)  4 N 2.36
Ca  0.5000  0.5000  0.5000 (multiplicity 1)  4 S 3.33, 8 N 3.72
S  0.0000  0.0000  0.5000 (multiplicity 1)  2 Sr 2.87
N  0.0000  0.5000  0.0000 (multiplicity 2)  2 Sr 2.36

**ρ**: 2439 kg/m³

=====

arrangement P is preferred energetically. Next in line: 347 meV/atom higher.